Entry 1:
PBE MoAsPSe2, relaxed; M_tot = 2.654 μB/f.u.; Fermi-level density of states = 3.2 states/eV/f.u.; E_form (uncorrected) = 0.947 eV/atom; volume = 21.43 Å³ per atom; E_tot = -4.62 eV/atom
1.0
-3.1294 -0.7164 -3.5762
2.5331 -3.8172 -1.4519
-2.5327 -2.7318 2.7635
P Se As Mo
1 2 1 1
Direct
0.0000 0.0000 0.0000 P
0.5000 0.0000 0.0000 Se
0.0000 0.5000 0.0000 Se
0.0000 0.0000 0.5000 As
0.5000 0.5000 0.5000 Mo

=====

Entry 2:
PBE MoAsPSe2, relaxed; M_tot = 1.043 μB/f.u.; Fermi-level density of states = 5.6 states/eV/f.u.; E_form (uncorrected) = 0.728 eV/atom; volume = 23.51 Å³ per atom; E_tot = -4.84 eV/atom
1.0
4.8127 0.0000 0.0000
0.0000 4.8127 0.0000
0.0000 0.0000 5.0744
Se P As Mo
2 1 1 1
Direct
0.5000 0.0000 0.0000 Se
0.0000 0.5000 0.0000 Se
0.5000 0.5000 0.5000 P
0.0000 0.0000 0.5000 As
0.0000 0.0000 0.0000 Mo

=====

Entry 3:
PBE SnMoAsP2, relaxed; M_tot = 2.151 μB/f.u.; Fermi-level density of states = 4.6 states/eV/f.u.; volume = 22.20 Å³ per atom; E_tot = -4.98 eV/atom; E_form = 1.084 eV per atom
1.0
-2.5670 -0.6172 4.0086
1.7342 -4.4555 0.4245
3.6804 1.6817 2.6157
Mo P As Sn
1 2 1 1
Direct
0.0000 0.0000 0.5000 Mo
0.0000 0.5000 0.0000 P
0.5000 0.0000 0.0000 P
0.0000 0.0000 0.0000 As
0.5000 0.5000 0.5000 Sn

=====

Entry 4:
PBE SrMoAsP2, relaxed; M_tot = 4.327 μB/f.u.; Fermi-level density of states = 3.3 states/eV/f.u.; volume = 26.36 Å³ per atom; E_tot = -4.47 eV/atom; E_form = 1.131 eV per atom
1.0
4.9191 0.0000 0.0000
0.0000 5.4475 0.0000
0.0000 0.0000 4.9191
Mo As P Sr
1 1 2 1
Direct
0.5000 0.5000 0.5000 Mo
0.0000 0.0000 0.0000 As
0.5000 0.0000 0.0000 P
0.0000 0.0000 0.5000 P
0.0000 0.5000 0.0000 Sr

=====

Entry 5:
PBE SrMoAsP2, relaxed; M_tot = 1.306 μB/f.u.; Fermi-level density of states = 4.6 states/eV/f.u.; volume = 26.50 Å³ per atom; E_tot = -5.26 eV/atom; E_form = 0.333 eV per atom
1.0
-4.4598 -0.2124 1.2005
1.3975 -4.0546 4.4742
0.6321 3.4903 2.9655
P Sr Mo As
2 1 1 1
Direct
0.5000 0.0000 0.0000 P
0.0000 0.0000 0.5000 P
0.0000 0.5000 0.0000 Sr
0.0000 0.0000 0.0000 Mo
0.5000 0.5000 0.5000 As

=====

Entry 6:
PBE Ta2MoAsP, relaxed; M_tot = 0.001 μB/f.u.; Fermi-level density of states = 3.1 states/eV/f.u.; volume = 20.25 Å³ per atom; E_tot = -7.49 eV/atom; E_form = 1.428 eV per atom
1.0
-4.0431 -0.7678 2.4319
-0.7225 -3.6775 -2.3622
2.4281 -2.5524 3.2310
Ta Mo P As
2 1 1 1
Direct
0.0000 0.0000 0.5000 Ta
0.5000 0.0000 0.0000 Ta
0.5000 0.5000 0.5000 Mo
0.0000 0.5000 0.0000 P
0.0000 0.0000 0.0000 As

=====

Entry 7:
PBE TlMoAsP2, relaxed; M_tot = 0.803 μB/f.u.; Fermi-level density of states = 4.9 states/eV/f.u.; volume = 24.01 Å³ per atom; E_tot = -5.08 eV/atom; E_form = 0.658 eV per atom
1.0
4.5956 0.0000 0.0000
0.0000 5.6834 0.0000
0.0000 0.0000 4.5956
P As Mo Tl
2 1 1 1
Direct
0.0000 0.0000 0.5000 P
0.5000 0.0000 0.0000 P
0.5000 0.5000 0.5000 As
0.0000 0.0000 0.0000 Mo
0.0000 0.5000 0.0000 Tl

=====

Entry 8:
PBE Mo2AsPW, relaxed; M_tot = 0.003 μB/f.u.; Fermi-level density of states = 7.9 states/eV/f.u.; volume = 21.25 Å³ per atom; E_tot = -7.44 eV/atom; E_form = 1.500 eV per atom
1.0
-0.5131 0.7633 4.7923
-2.0657 -3.9344 0.4055
4.2948 -2.1719 0.8058
As Mo P W
1 2 1 1
Direct
0.5000 0.5000 0.5000 As
0.0000 0.0000 0.5000 Mo
0.5000 0.0000 0.0000 Mo
0.0000 0.5000 0.0000 P
0.0000 0.0000 0.0000 W